Pm2Ga6Cu PBE-GGA relaxed; SG = C2/m, No. 12; ΔE to the lowest computed polymorph = 0 meV/atom; final energy = -4.033 eV/atom
1.0
-4.504 1.599 -3.066
1.136 -4.325 -3.919
-2.409 -5.386 0.735
Ga Pm Cu
6 2 1
direct
0.321 0.826 0.826
0.676 0.173 0.650
0.676 0.650 0.173
0.679 0.174 0.174
0.324 0.827 0.350
0.324 0.350 0.827
0.847 0.666 0.666
0.153 0.334 0.334
0.000 0.000 0.000